Entry 1:
The following is a PBE calculation of a geometry-optimized ZrN2 structure, from Alexandria via LeMat-Bulk.

a = 3.134 Å, b = 3.134 Å, c = 3.927 Å
α = 113.51°, β = 113.51°, γ = 90.00°
Positions (direct):
Zr1 0.000 0.000 0.000
N1 0.388 0.388 0.775
N2 0.612 0.612 0.225

**Calculated volume**: 10.61 Å³/atom
**Total DFT energy (no corrections)**: -26.7 eV/cell
**Crystal system**: tetragonal
**Uncorrected formation energy**: -49 kJ/mol of atoms

***

Entry 2:
The following is a PBE calculation of a geometry-optimized TmCr4Tc structure, from Alexandria via LeMat-Bulk.

a = 4.948 Å, b = 4.948 Å, c = 4.948 Å
α = 60.00°, β = 60.00°, γ = 60.00°
Positions (direct):
Cr1 0.626 0.626 0.123
Tc1 0.000 0.000 0.000
Cr2 0.626 0.123 0.626
Cr3 0.123 0.626 0.626
Cr4 0.626 0.626 0.626
Tm1 0.250 0.250 0.250

**Calculated volume**: 14.28 Å³/atom
**Energy of formation**: 16.4 kJ/mol of atoms
**Total DFT energy (no corrections)**: -52.3 eV/cell
**Crystal system**: cubic

***

Entry 3:
The following is a PBE calculation of a geometry-optimized MgMn2ReC structure, from Alexandria via LeMat-Bulk.

a = 4.070 Å, b = 4.070 Å, c = 4.049 Å
α = 90.00°, β = 90.00°, γ = 90.00°
Positions (direct):
C1 0.000 0.000 0.000
Mg1 0.500 0.500 0.500
Re1 0.000 0.000 0.500
Mn1 0.000 0.500 0.000
Mn2 0.500 0.000 0.000

**Calculated volume**: 13.42 Å³/atom
**Energy of formation**: 13.0 kJ/mol of atoms
**Total DFT energy (no corrections)**: -40.9 eV/cell
**Crystal system**: tetragonal

***

Entry 4:
The following is a PBE calculation of a geometry-optimized Y2SbRu structure, from Alexandria via LeMat-Bulk.

a = 5.906 Å, b = 5.906 Å, c = 5.906 Å
α = 137.73°, β = 137.73°, γ = 61.32°
Positions (direct):
Ru1 0.500 0.500 0.000
Sb1 0.750 0.250 0.500
Y1 0.250 0.750 0.500
Y2 0.000 0.000 0.000

**Calculated volume**: 23.04 Å³/atom
**Total DFT energy (no corrections)**: -27.9 eV/cell
**Crystal system**: tetragonal
**Uncorrected formation energy**: -39 kJ/mol of atoms

***

Entry 5:
The following is a PBE calculation of a geometry-optimized IrRuPb structure, from Alexandria via LeMat-Bulk.

a = 4.422 Å, b = 4.422 Å, c = 4.422 Å
α = 60.00°, β = 60.00°, γ = 60.00°
Positions (direct):
Pb1 0.000 0.000 0.000
Ru1 0.500 0.500 0.500
Ir1 0.750 0.750 0.750

**Calculated volume**: 20.37 Å³/atom
**Energy of formation**: 56.4 kJ/mol of atoms
**Relative energy among the computed polymorphs**: 0.19 eV per formula unit
**Total DFT energy (no corrections)**: -20.1 eV/cell
**Crystal system**: cubic

***

Entry 6:
The following is a PBE calculation of a geometry-optimized Na3Ag2Br2Cl4 structure, from Alexandria via LeMat-Bulk.

a = 4.934 Å, b = 4.934 Å, c = 13.193 Å
α = 100.78°, β = 100.78°, γ = 90.00°
Positions (direct):
Br1 0.700 0.700 0.400
Br2 0.300 0.300 0.600
Ag1 0.412 0.412 0.824
Cl1 0.071 0.571 0.143
Na1 0.812 0.812 0.624
Cl2 0.571 0.071 0.143
Na2 0.000 0.000 0.000
Cl3 0.929 0.429 0.857
Ag2 0.588 0.588 0.176
Na3 0.188 0.188 0.376
Cl4 0.429 0.929 0.857

**Calculated volume**: 28.16 Å³/atom
**Total DFT energy (no corrections)**: -31.6 eV/cell
**Crystal system**: tetragonal
**Uncorrected formation energy**: -98 kJ/mol of atoms

***

Entry 7:
The following is a PBE calculation of a geometry-optimized Cs3TmAl2O6 structure, from Alexandria via LeMat-Bulk.

a = 6.131 Å, b = 6.131 Å, c = 7.692 Å
α = 90.00°, β = 90.00°, γ = 120.00°
Positions (direct):
O1 0.828 0.172 0.677
Tm1 0.000 0.000 0.500
Al1 0.333 0.667 0.328
Cs1 0.000 0.000 0.000
Cs2 0.667 0.333 0.235
Al2 0.667 0.333 0.672
Cs3 0.333 0.667 0.765
O2 0.828 0.657 0.677
O3 0.657 0.828 0.323
O4 0.172 0.343 0.323
O5 0.172 0.828 0.323
O6 0.343 0.172 0.677

**Calculated volume**: 20.87 Å³/atom
**Total DFT energy (no corrections)**: -72.8 eV/cell
**Crystal system**: trigonal
**Uncorrected formation energy**: -229 kJ/mol of atoms

***

Entry 8:
The following is a PBE calculation of a geometry-optimized BeSbTe2Br structure, from Alexandria via LeMat-Bulk.

a = 5.624 Å, b = 5.624 Å, c = 5.579 Å
α = 90.00°, β = 90.00°, γ = 90.00°
Positions (direct):
Be1 0.500 0.500 0.500
Te1 0.500 0.000 0.000
Sb1 0.000 0.000 0.500
Br1 0.000 0.000 0.000
Te2 0.000 0.500 0.000

**Calculated volume**: 35.30 Å³/atom
**Relative energy among the computed polymorphs**: 5.28 eV per formula unit
**Total DFT energy (no corrections)**: -8.9 eV/cell
**Crystal system**: tetragonal
**Uncorrected formation energy**: 133 kJ/mol of atoms

***

Entry 9:
The following is a PBE calculation of a geometry-optimized ThMnGe3Mo structure, from Alexandria via LeMat-Bulk.

a = 5.914 Å, b = 7.717 Å, c = 6.580 Å
α = 125.91°, β = 90.00°, γ = 90.00°
Positions (direct):
Ge1 0.500 0.239 0.000
Ge2 0.000 0.239 0.000
Mn1 0.750 0.977 0.954
Mo1 0.250 0.456 0.913
Ge3 0.750 0.766 0.532
Th1 0.250 0.763 0.526
Ge4 0.500 0.761 0.000
Th2 0.750 0.237 0.474
Mo2 0.750 0.544 0.087
Ge5 0.250 0.234 0.468
Mn2 0.250 0.023 0.046
Ge6 0.000 0.761 0.000

**Calculated volume**: 20.27 Å³/atom
**Energy of formation**: -5.1 kJ/mol of atoms
**Total DFT energy (no corrections)**: -83.2 eV/cell
**Crystal system**: orthorhombic

***

Entry 10:
The following is a PBE calculation of a geometry-optimized Mg8GaSn6 structure, from Alexandria via LeMat-Bulk.

a = 8.356 Å, b = 8.356 Å, c = 8.097 Å
α = 58.93°, β = 58.93°, γ = 60.00°
Positions (direct):
Sn1 0.734 0.401 0.799
Mg1 0.218 0.884 0.342
Mg2 0.884 0.556 0.342
Mg3 0.782 0.116 0.658
Mg4 0.667 0.667 0.998
Sn2 0.934 0.266 0.201
Sn3 0.066 0.734 0.799
Sn4 0.599 0.934 0.201
Mg5 0.333 0.333 0.002
Ga1 0.000 0.000 0.000
Mg6 0.116 0.444 0.658
Sn5 0.266 0.599 0.201
Mg7 0.556 0.218 0.342
Sn6 0.401 0.066 0.799
Mg8 0.444 0.782 0.658

**Calculated volume**: 26.22 Å³/atom
**Energy of formation**: -1.1 kJ/mol of atoms
**Total DFT energy (no corrections)**: -40.0 eV/cell
**Crystal system**: trigonal

***

Entry 11:
The following is a PBE calculation of a geometry-optimized TlIn5Sn2 structure, from Alexandria via LeMat-Bulk.

a = 4.690 Å, b = 7.546 Å, c = 7.546 Å
α = 79.37°, β = 71.89°, γ = 71.89°
Positions (direct):
In1 0.000 0.500 0.500
In2 0.649 0.166 0.535
In3 0.351 0.834 0.465
In4 0.351 0.465 0.834
In5 0.649 0.535 0.166
Sn1 0.712 0.788 0.788
Sn2 0.288 0.212 0.212
Tl1 0.000 0.000 0.000

**Calculated volume**: 30.02 Å³/atom
**Energy of formation**: 6.8 kJ/mol of atoms
**Relative energy among the computed polymorphs**: 0.39 eV per formula unit
**Total DFT energy (no corrections)**: -23.5 eV/cell
**Crystal system**: orthorhombic

***

Entry 12:
The following is a PBE calculation of a geometry-optimized TmWS structure, from Alexandria via LeMat-Bulk.

a = 3.589 Å, b = 3.589 Å, c = 8.775 Å
α = 90.00°, β = 90.00°, γ = 90.00°
Positions (direct):
S1 0.500 0.000 0.361
S2 0.000 0.500 0.639
W1 0.500 0.000 0.069
Tm1 0.500 0.000 0.705
Tm2 0.000 0.500 0.295
W2 0.000 0.500 0.931

**Calculated volume**: 18.84 Å³/atom
**Total DFT energy (no corrections)**: -48.6 eV/cell
**Crystal system**: tetragonal
**Uncorrected formation energy**: -89 kJ/mol of atoms

***

> The highest total DFT energy (no corrections) belongs to which entry?

BeSbTe2Br

***

What did the seventh record say?
The following is a PBE calculation of a geometry-optimized Cs3TmAl2O6 structure, from Alexandria via LeMat-Bulk.

a = 6.131 Å, b = 6.131 Å, c = 7.692 Å
α = 90.00°, β = 90.00°, γ = 120.00°
Positions (direct):
O1 0.828 0.172 0.677
Tm1 0.000 0.000 0.500
Al1 0.333 0.667 0.328
Cs1 0.000 0.000 0.000
Cs2 0.667 0.333 0.235
Al2 0.667 0.333 0.672
Cs3 0.333 0.667 0.765
O2 0.828 0.657 0.677
O3 0.657 0.828 0.323
O4 0.172 0.343 0.323
O5 0.172 0.828 0.323
O6 0.343 0.172 0.677

**Calculated volume**: 20.87 Å³/atom
**Total DFT energy (no corrections)**: -72.8 eV/cell
**Crystal system**: trigonal
**Uncorrected formation energy**: -229 kJ/mol of atoms

***

> What is the formula in the ninth record?

ThMnGe3Mo

***

> Which of these has the lowest calculated volume?

ZrN2